VASP calculation (GGA-PBE) on an optimized crystal structure of PmScGa6.

Values from the calculation:
- Density: 6.60 g/cm3
- Energy above the most stable polymorph in this dataset: 26 meV/atom
- Calculated total energy: -4.1415 eV/atom

Structure (POSCAR):
```
PmScGa6
1.0
6.215 0.000 0.000
-3.107 5.382 0.000
0.000 0.000 4.577
Pm Sc Ga
1 1 6
Direct
0.000 0.000 0.000 Pm
0.667 0.333 0.500 Sc
0.025 0.512 0.000 Ga
0.188 0.377 0.500 Ga
0.188 0.812 0.500 Ga
0.488 0.512 0.000 Ga
0.488 0.975 0.000 Ga
0.623 0.812 0.500 Ga
```

=====

VASP calculation (GGA-PBE) on an optimized crystal structure of PmSc2Ga.

Values from the calculation:
- Density: 4.86 g/cm3
- Energy above the most stable polymorph in this dataset: 125 meV/atom
- Calculated total energy: -5.2738 eV/atom

Structure (POSCAR):
```
PmSc2Ga
1.0
2.336 1.349 5.511
-2.336 1.349 5.511
0.000 -2.697 5.511
Pm Sc Ga
1 2 1
Direct
0.000 0.000 0.000 Pm
0.551 0.551 0.551 Sc
0.788 0.788 0.788 Sc
0.201 0.201 0.201 Ga
```

=====

VASP calculation (GGA-PBE) on an optimized crystal structure of Pm4Sc3Ga4.

Values from the calculation:
- Density: 6.12 g/cm3
- Calculated total energy: -4.9397 eV/atom

Structure (POSCAR):
```
Pm4Sc3Ga4
1.0
-1.679 4.455 9.009
1.679 -4.455 9.009
1.679 4.455 -9.009
Pm Sc Ga
4 3 4
Direct
0.010 0.836 0.174 Pm
0.338 0.164 0.174 Pm
0.662 0.836 0.826 Pm
0.990 0.164 0.826 Pm
0.000 0.500 0.500 Sc
0.410 0.410 0.000 Sc
0.590 0.590 0.000 Sc
0.278 0.000 0.278 Ga
0.283 0.783 0.500 Ga
0.717 0.217 0.500 Ga
0.722 0.000 0.722 Ga
```

=====

Ordered DOS at the Fermi energy results: 0.4026; 1.1830; 0.8151; unit states/eV/atom.
Ordered total magnetization results: 0.000; 0.000; 0.000; unit μB/f.u..